(1)
VASP calculation (PBE) on an optimized crystal structure of NdHo2PuSb4.

SG: No. 10
Uncorrected energy, eV per atom: -6.587

Cell lengths 7.650, 4.432, 7.662 Å; angles 90.00, 109.51, 90.00 degrees
Sites, in units of the cell vectors:
Nd  0.000  0.000  0.000
Ho  0.500  0.000  0.500
Ho  0.500  0.500  0.000
Pu  0.000  0.500  0.500
Sb  0.255  0.000  0.748
Sb  0.258  0.500  0.256
Sb  0.742  0.500  0.744
Sb  0.745  0.000  0.252

(2)
VASP calculation (PBE) on an optimized crystal structure of BeTl2Te.

Energy above the most stable polymorph in this dataset, meV/atom: 407
SG: No. 139
Uncorrected energy, eV per atom: -2.477

Cell lengths 4.303, 4.303, 11.623 Å; angles 90.00, 90.00, 90.00 degrees
Sites, in units of the cell vectors:
Be  0.000  0.000  0.000
Be  0.500  0.500  0.500
Tl  0.000  0.500  0.250
Tl  0.000  0.500  0.750
Tl  0.500  0.000  0.250
Tl  0.500  0.000  0.750
Te  0.000  0.000  0.500
Te  0.500  0.500  0.000

(3)
VASP calculation (PBE) on an optimized crystal structure of MgFe3Re.

Energy above the most stable polymorph in this dataset, meV/atom: 762
SG: No. 221
Uncorrected energy, eV per atom: -5.908

Cell lengths 4.100, 4.100, 4.100 Å; angles 90.00, 90.00, 90.00 degrees
Sites, in units of the cell vectors:
Mg  0.000  0.000  0.000
Fe  0.000  0.000  0.500
Fe  0.000  0.500  0.000
Fe  0.500  0.000  0.000
Re  0.500  0.500  0.500

(4)
VASP calculation (PBE) on an optimized crystal structure of ErGa4CuPd2.

SG: No. 166
Uncorrected energy, eV per atom: -4.404

Cell lengths 8.862, 8.862, 8.862 Å; angles 27.93, 27.93, 27.93 degrees
Sites, in units of the cell vectors:
Er  0.000  0.000  0.000
Ga  0.131  0.131  0.131
Ga  0.397  0.397  0.397
Ga  0.603  0.603  0.603
Ga  0.869  0.869  0.869
Cu  0.500  0.500  0.500
Pd  0.240  0.240  0.240
Pd  0.760  0.760  0.760

(5)
VASP calculation (PBE) on an optimized crystal structure of La3CeTm3Se8.

SG: No. 166
Uncorrected energy, eV per atom: -6.001

Cell lengths 8.383, 8.383, 8.383 Å; angles 59.02, 59.02, 59.02 degrees
Sites, in units of the cell vectors:
La  0.000  0.500  0.500
La  0.500  0.000  0.500
La  0.500  0.500  0.000
Ce  0.500  0.500  0.500
Tm  0.000  0.000  0.500
Tm  0.000  0.500  0.000
Tm  0.500  0.000  0.000
Se  0.229  0.755  0.755
Se  0.242  0.242  0.242
Se  0.245  0.245  0.771
Se  0.245  0.771  0.245
Se  0.755  0.229  0.755
Se  0.755  0.755  0.229
Se  0.758  0.758  0.758
Se  0.771  0.245  0.245

(6)
VASP calculation (PBE) on an optimized crystal structure of LaCeTe3.

Energy above the most stable polymorph in this dataset, meV/atom: 0
SG: No. 62
Uncorrected energy, eV per atom: -5.549

Cell lengths 8.453, 4.534, 17.572 Å; angles 90.00, 90.00, 90.00 degrees
Sites, in units of the cell vectors:
La  0.129  0.250  0.204
La  0.371  0.750  0.704
La  0.629  0.250  0.296
La  0.871  0.750  0.796
Ce  0.233  0.750  0.459
Ce  0.267  0.250  0.959
Ce  0.733  0.750  0.041
Ce  0.767  0.250  0.541
Te  0.004  0.250  0.392
Te  0.123  0.750  0.066
Te  0.156  0.250  0.782
Te  0.344  0.750  0.282
Te  0.377  0.250  0.566
Te  0.496  0.750  0.892
Te  0.504  0.250  0.108
Te  0.623  0.750  0.434
Te  0.656  0.250  0.718
Te  0.844  0.750  0.218
Te  0.877  0.250  0.934
Te  0.996  0.750  0.608

(7)
VASP calculation (PBE) on an optimized crystal structure of ZnMo2P.

Energy above the most stable polymorph in this dataset, meV/atom: 163
SG: No. 65
Uncorrected energy, eV per atom: -6.984

Cell lengths 3.314, 4.774, 7.652 Å; angles 90.00, 90.00, 90.00 degrees
Sites, in units of the cell vectors:
Zn  0.000  0.000  0.000
Zn  0.500  0.500  0.000
Mo  0.000  0.500  0.281
Mo  0.000  0.500  0.719
Mo  0.500  0.000  0.281
Mo  0.500  0.000  0.719
P  0.000  0.000  0.500
P  0.500  0.500  0.500

(8)
VASP calculation (PBE) on an optimized crystal structure of ScAg3Sn.

Energy above the most stable polymorph in this dataset, meV/atom: 0
SG: No. 65
Uncorrected energy, eV per atom: -3.858

Cell lengths 14.232, 14.232, 3.194 Å; angles 90.00, 90.00, 161.01 degrees
Sites, in units of the cell vectors:
Sc  0.176  0.824  0.000
Sc  0.824  0.176  0.000
Ag  0.053  0.947  0.500
Ag  0.273  0.727  0.500
Ag  0.453  0.547  0.000
Ag  0.547  0.453  0.000
Ag  0.727  0.273  0.500
Ag  0.947  0.053  0.500
Sn  0.371  0.629  0.500
Sn  0.629  0.371  0.500

(9)
VASP calculation (PBE) on an optimized crystal structure of PbBr2F.

Energy above the most stable polymorph in this dataset, meV/atom: 258
SG: No. 166
Uncorrected energy, eV per atom: -2.890

Cell lengths 4.585, 4.585, 23.914 Å; angles 90.00, 90.00, 120.00 degrees
Sites, in units of the cell vectors:
Pb  0.000  0.000  0.000
Pb  0.333  0.667  0.667
Pb  0.667  0.333  0.333
Br  0.000  0.000  0.400
Br  0.000  0.000  0.600
Br  0.333  0.667  0.066
Br  0.333  0.667  0.267
Br  0.667  0.333  0.733
Br  0.667  0.333  0.934
F  0.000  0.000  0.500
F  0.333  0.667  0.167
F  0.667  0.333  0.833

(10)
VASP calculation (PBE) on an optimized crystal structure of AlSb2I.

Energy above the most stable polymorph in this dataset, meV/atom: 0
SG: No. 122
Uncorrected energy, eV per atom: -3.039

Cell lengths 7.513, 7.513, 10.220 Å; angles 90.00, 90.00, 90.00 degrees
Sites, in units of the cell vectors:
Al  0.000  0.000  0.000
Al  0.000  0.500  0.250
Al  0.500  0.000  0.750
Al  0.500  0.500  0.500
Sb  0.193  0.250  0.125
Sb  0.250  0.693  0.375
Sb  0.250  0.807  0.875
Sb  0.307  0.250  0.625
Sb  0.693  0.750  0.625
Sb  0.750  0.193  0.875
Sb  0.750  0.307  0.375
Sb  0.807  0.750  0.125
I  0.000  0.000  0.500
I  0.000  0.500  0.750
I  0.500  0.000  0.250
I  0.500  0.500  0.000

(11)
VASP calculation (PBE) on an optimized crystal structure of La6TbPr5.

Energy above the most stable polymorph in this dataset, meV/atom: 0
SG: No. 12
Uncorrected energy, eV per atom: -4.832

Cell lengths 8.284, 8.284, 6.445 Å; angles 97.34, 97.34, 84.46 degrees
Sites, in units of the cell vectors:
La  0.083  0.415  0.749
La  0.249  0.249  0.253
La  0.415  0.083  0.749
La  0.585  0.917  0.251
La  0.751  0.751  0.747
La  0.917  0.585  0.251
Tb  0.000  0.000  0.500
Pr  0.166  0.834  0.000
Pr  0.332  0.668  0.500
Pr  0.500  0.500  0.000
Pr  0.668  0.332  0.500
Pr  0.834  0.166  0.000

(12)
VASP calculation (PBE) on an optimized crystal structure of YZr2Co9.

Energy above the most stable polymorph in this dataset, meV/atom: 0
SG: No. 166
Uncorrected energy, eV per atom: -7.531

Cell lengths 8.437, 8.437, 8.437 Å; angles 33.75, 33.75, 33.75 degrees
Sites, in units of the cell vectors:
Y  0.000  0.000  0.000
Zr  0.140  0.140  0.140
Zr  0.860  0.860  0.860
Co  0.078  0.587  0.587
Co  0.336  0.336  0.336
Co  0.413  0.413  0.922
Co  0.413  0.922  0.413
Co  0.500  0.500  0.500
Co  0.587  0.078  0.587
Co  0.587  0.587  0.078
Co  0.664  0.664  0.664
Co  0.922  0.413  0.413